NaFe3As: optimized geometry, GGA-PBEsol.

a = 4.3588 Å, b = 4.3588 Å, c = 4.3588 Å
α = 90.00°, β = 90.00°, γ = 90.00°
Each line ends with the local moment (μB).
Atoms (fractional coordinates):
Na (0.0000, 0.0000, 0.0000)  -0.03
As (0.5000, 0.5000, 0.5000)  0.05
Fe (0.0000, 0.5000, 0.0000)  2.89
Fe (0.0000, 0.0000, 0.5000)  2.89
Fe (0.5000, 0.0000, 0.0000)  2.89

spin magnetization: 8.80 μB/f.u.
V: 16.56 A^3/atom
total DFT energy (no corrections): -23.66 eV per cell
ΔE_f: 1.9481 eV per atom
Fermi-level density of states: 4.1 states/eV per cell